This record from the Alexandria database describes Y2ScReF after structural relaxation. The functional is PBE.

a b c (Å): 5.6418 5.6418 3.7969
angles (deg): 90.00 90.00 90.00
Positions (direct):
Y 0.0000 0.5000 0.0000
Y 0.5000 0.0000 0.0000
Sc 0.0000 0.0000 0.0000
Re 0.5000 0.5000 0.5000
F 0.0000 0.0000 0.5000

Computed properties:
**Formation energy from raw total energies**: 0.262 eV per atom
**DOS(E_F)**: 6.8 states/eV/f.u.
**Space group**: P4/mmm, No. 123


This record from the Alexandria database describes Sr2TaCuNi after structural relaxation. The functional is PBE.

a b c (Å): 5.7490 5.7490 4.5944
angles (deg): 90.00 90.00 90.00
Positions (direct):
Sr 0.0000 0.5000 0.0000
Sr 0.5000 0.0000 0.0000
Ta 0.0000 0.0000 0.5000
Cu 0.5000 0.5000 0.5000
Ni 0.0000 0.0000 0.0000

Computed properties:
**Energy of formation**: 0.717 eV per atom
**DOS(E_F)**: 4.4 states/eV/f.u.
**Space group**: P4/mmm, No. 123